MgGaHgCl2 | Alexandria via LeMat-Bulk | PBE-GGA | optimized geometry; N(E_F) = 1.70 states/eV/cell; electronic total energy = -2.09 eV/atom; energy relative to the elements, uncorrected = -0.370 eV per atom
1.0
-4.889 1.644 -0.219
-1.713 -5.161 -0.496
-0.356 -0.375 5.137
Mg Hg Ga Cl
1 1 1 2
Cartesian
-0.857 -2.580 -0.248
-3.479 -1.946 2.211
0.000 0.000 0.000
-0.178 -0.188 2.568
-2.444 0.822 -0.109